# 1
Below is an optimized crystal structure of InHg2Pb, with properties calculated at the PBE-GGA level.

Cell: 3.3404 3.3404 11.0729 Å, 90.00 90.00 113.83°
Fractional positions:
Pb1 0.5000 0.5000 0.7514
Hg1 0.5000 0.5000 0.2487
Hg2 0.0000 0.0000 0.0088
In1 0.0000 0.0000 0.4912

Results
Energy of formation = 34 meV per atom



# 2
Below is an optimized crystal structure of In4Hg4Pb5, with properties calculated at the PBE-GGA level.

Cell: 5.0850 8.9040 8.9040 Å, 85.32 73.41 73.41°
Fractional positions:
In1 0.0964 0.5079 0.2993
In2 0.6043 0.2993 0.4921
In3 0.3957 0.7007 0.5079
In4 0.9036 0.4921 0.7007
Pb1 0.3109 0.1105 0.2676
Pb2 0.6891 0.8895 0.7324
Pb3 0.5786 0.7324 0.1105
Pb4 0.0000 0.0000 0.0000
Pb5 0.4214 0.2676 0.8895
Hg1 0.7598 0.3588 0.1215
Hg2 0.8813 0.8785 0.3588
Hg3 0.2402 0.6412 0.8785
Hg4 0.1187 0.1215 0.6412

Results
Energy of formation = 28 meV per atom



# 3
Below is an optimized crystal structure of In2HgPb, with properties calculated at the PBE-GGA level.

Cell: 6.0767 6.0767 6.0767 Å, 134.90 134.90 65.69°
Fractional positions:
Pb1 0.2500 0.7500 0.5000
In1 0.5000 0.5000 0.0000
In2 0.0000 0.0000 0.0000
Hg1 0.7500 0.2500 0.5000

Results
Energy of formation = 24 meV per atom



# 4
Below is an optimized crystal structure of InHg3Pb3, with properties calculated at the PBE-GGA level.

Cell: 8.4469 9.5329 9.5168 Å, 37.39 63.28 77.96°
Fractional positions:
Pb1 0.1107 0.7659 0.6603
Pb2 0.4651 0.2236 0.6550
Pb3 0.1991 0.2566 0.4600
Pb4 0.8009 0.7434 0.5400
Pb5 0.8893 0.2341 0.3397
Pb6 0.5349 0.7764 0.3450
Hg1 0.3874 0.7626 0.8153
Hg2 0.9652 0.7567 0.0925
Hg3 0.6126 0.2374 0.1847
Hg4 0.2150 0.7281 0.2846
Hg5 0.0348 0.2433 0.9075
Hg6 0.7850 0.2719 0.7154
In1 0.3462 0.2891 0.9985
In2 0.6538 0.7109 0.0015

Results
Energy above the lowest structure with this stoichiometry = 0.000 eV/atom
Energy of formation = 30 meV per atom



# 5
Below is an optimized crystal structure of In4HgPb8, with properties calculated at the PBE-GGA level.

Cell: 10.9377 10.4530 7.9822 Å, 90.14 137.41 119.38°
Fractional positions:
Pb1 0.9945 0.7478 0.2351
Pb2 0.0014 0.7530 0.7601
Pb3 0.5040 0.7523 0.2564
Pb4 0.0055 0.2522 0.7649
Pb5 0.4928 0.2464 0.2444
Pb6 0.4960 0.2477 0.7436
Pb7 0.9986 0.2470 0.2399
Pb8 0.5072 0.7536 0.7556
In1 0.5000 0.0000 0.0000
In2 0.0000 0.0000 0.0000
In3 0.0000 0.5000 0.0000
In4 0.5000 0.5000 0.0000
Hg1 0.0000 0.5000 0.5000

Results
Energy of formation = 77 meV per atom



# 6
Below is an optimized crystal structure of In3Hg3Pb2, with properties calculated at the PBE-GGA level.

Cell: 3.5307 8.6246 15.7129 Å, 90.00 90.00 101.81°
Fractional positions:
In1 0.0992 0.1985 0.9160
In2 0.9008 0.8015 0.0840
In3 0.3495 0.6990 0.7500
In4 0.6505 0.3010 0.2500
In5 0.9008 0.8015 0.4160
In6 0.0992 0.1985 0.5840
Hg1 0.4480 0.8960 0.9075
Hg2 0.3752 0.7504 0.2500
Hg3 0.5520 0.1040 0.4075
Hg4 0.4480 0.8960 0.5925
Hg5 0.5520 0.1040 0.0925
Hg6 0.6248 0.2496 0.7500
Pb1 0.2294 0.4588 0.0908
Pb2 0.7706 0.5412 0.5908
Pb3 0.2294 0.4588 0.4092
Pb4 0.7706 0.5412 0.9092

Results
Energy above the lowest structure with this stoichiometry = 0.028 eV/atom
Energy of formation = 52 meV per atom



# 7
Below is an optimized crystal structure of In4Hg3Pb5, with properties calculated at the PBE-GGA level.

Cell: 5.9593 8.1745 8.3261 Å, 113.54 78.31 109.12°
Fractional positions:
In1 0.0080 0.6899 0.6609
In2 0.9920 0.3101 0.3391
In3 0.8325 0.8430 0.0743
In4 0.1675 0.1570 0.9257
Pb1 0.6375 0.5578 0.3146
Pb2 0.2305 0.6405 0.1361
Pb3 0.7695 0.3595 0.8639
Pb4 0.0000 0.0000 0.5000
Pb5 0.3625 0.4422 0.6854
Hg1 0.5000 0.0000 0.5000
Hg2 0.4619 0.1161 0.1931
Hg3 0.5381 0.8839 0.8069

Results
Energy of formation = 46 meV per atom



# 8
Below is an optimized crystal structure of In12Hg7Pb2, with properties calculated at the PBE-GGA level.

Cell: 4.1101 12.7603 12.7602 Å, 120.00 90.00 90.00°
Fractional positions:
In1 0.0000 0.4398 0.5030
In2 0.0000 0.0631 0.5602
In3 0.0000 0.7600 0.7206
In4 0.5000 0.5681 0.7625
In5 0.5000 0.2375 0.8056
In6 0.0000 0.9606 0.2400
In7 0.5000 0.3820 0.2819
In8 0.0000 0.4970 0.9368
In9 0.5000 0.7181 0.1000
In10 0.5000 0.8999 0.6180
In11 0.0000 0.2794 0.0394
In12 0.5000 0.1945 0.4319
Hg1 0.5000 0.6289 0.5142
Hg2 0.0000 0.0377 0.8196
Hg3 0.5000 0.4858 0.1147
Hg4 0.5000 0.8853 0.3711
Hg5 0.0000 0.3333 0.6667
Hg6 0.0000 0.7820 0.9623
Hg7 0.0000 0.1804 0.2180
Pb1 0.5000 0.0000 0.0000
Pb2 0.0000 0.6667 0.3334

Results
Energy of formation = 35 meV per atom



Taking the records one at a time from the top gives calculated volume values of 113.02; 370.27; 110.90; 399.66; 423.63; 468.35; 350.12; 579.55 Å³/cell.